This record from Alexandria describes a relaxed structure of LiMn2CoF. The functional is PBE+U.

Summary:
Energy (eV/cell): -23.6
Size of the total moment (μB/atom): 2.305

Cell lengths 4.4801, 4.4801, 4.3553 Å; angles 90.00, 90.00, 90.00 degrees
Space group P4/mmm (No. 123)
Unique sites:
1 Li 0.0000 0.0000 0.0000 [1 per cell]
2 Mn 0.0000 0.5000 0.5000 [2 per cell]
3 Co 0.5000 0.5000 0.0000 [1 per cell]
4 F 0.5000 0.5000 0.5000 [1 per cell]